TaRhAu2 | GGA-PBEsol | optimized geometry

Lattice parameters (Å, degrees): 3.962 3.962 4.902 113.85 113.85 89.95
Atoms (fractional coordinates):
Ta (0.250, 0.750, 0.500)
Au (0.750, 0.250, 0.500)
Au (0.000, 0.000, 0.000)
Rh (0.500, 0.500, 0.000)

Output
- ΔE to the lowest computed polymorph: 0.0 meV/atom
- DFT formation energy: -0.244 eV/atom